Record 1
Entry from Alexandria: a relaxed structure of YGaCoRh2 (PBEsol).

The structure in CIF format:
```
data_YGaCoRh2
_cell_length_a 4.7113
_cell_length_b 4.7113
_cell_length_c 5.2055
_cell_angle_alpha 90.00
_cell_angle_beta 90.00
_cell_angle_gamma 90.00
_space_group_name_H-M_alt 'P 4/m m m'
_space_group_IT_number 123
_space_group_name_Hall '-P 4 2'
loop_
_atom_site_label
_atom_site_type_symbol
_atom_site_fract_x
_atom_site_fract_y
_atom_site_fract_z
_atom_site_occupancy
Y1 Y 0.0000 0.0000 0.0000 1
Ga1 Ga 0.0000 0.0000 0.5000 1
Co1 Co 0.5000 0.5000 0.5000 1
Rh1 Rh 0.0000 0.5000 0.0000 1
```

V   23.1 A^3/atom
Size of the total moment   2.32 μB/cell
Formation energy   1.638 eV/atom



Record 2
Entry from Alexandria: a relaxed structure of Sm3GaCoS7 (PBEsol).

The structure in CIF format:
```
data_Sm3GaCoS7
_cell_length_a 9.5298
_cell_length_b 9.5298
_cell_length_c 6.1151
_cell_angle_alpha 90.00
_cell_angle_beta 90.00
_cell_angle_gamma 120.00
_space_group_name_H-M_alt 'P 63'
_space_group_IT_number 173
_space_group_name_Hall 'P 6c'
loop_
_atom_site_label
_atom_site_type_symbol
_atom_site_fract_x
_atom_site_fract_y
_atom_site_fract_z
_atom_site_occupancy
Sm1 Sm 0.1648 0.7904 0.0000 1
Ga1 Ga 0.3333 0.6667 0.4227 1
Co1 Co 0.0000 0.0000 0.3396 1
S1 S 0.0820 0.5246 0.2775 1
S2 S 0.0979 0.8782 0.5919 1
S3 S 0.3333 0.6667 0.7873 1
```

ΔE_f (raw)   -1525 meV/atom
V   20.0 A^3/atom
Size of the total moment   2.02 μB/cell



Record 3
Entry from Alexandria: a relaxed structure of GaCo2Sb (PBEsol).

The structure in CIF format:
```
data_GaCo2Sb
_cell_length_a 5.9850
_cell_length_b 5.9850
_cell_length_c 5.9850
_cell_angle_alpha 90.00
_cell_angle_beta 90.00
_cell_angle_gamma 90.00
_space_group_name_H-M_alt 'F m -3 m'
_space_group_IT_number 225
_space_group_name_Hall '-F 4 2 3'
loop_
_atom_site_label
_atom_site_type_symbol
_atom_site_fract_x
_atom_site_fract_y
_atom_site_fract_z
_atom_site_occupancy
Ga1 Ga 0.0000 0.0000 0.0000 1
Co1 Co 0.2500 0.2500 0.2500 1
Sb1 Sb 0.0000 0.0000 0.5000 1
```

ΔE_f (raw)   -14 meV/atom
V   13.4 A^3/atom
Size of the total moment   4.68 μB/cell



Record 4
Entry from Alexandria: a relaxed structure of Sc2GaCo2 (PBEsol).

The structure in CIF format:
```
data_Sc2GaCo2
_cell_length_a 6.3848
_cell_length_b 6.3848
_cell_length_c 3.7174
_cell_angle_alpha 90.00
_cell_angle_beta 90.00
_cell_angle_gamma 90.00
_space_group_name_H-M_alt 'P 4/m b m'
_space_group_IT_number 127
_space_group_name_Hall '-P 4 2ab'
loop_
_atom_site_label
_atom_site_type_symbol
_atom_site_fract_x
_atom_site_fract_y
_atom_site_fract_z
_atom_site_occupancy
Sc1 Sc 0.1798 0.3202 0.0000 1
Ga1 Ga 0.0000 0.0000 0.5000 1
Co1 Co 0.1234 0.6234 0.5000 1
```

V   15.2 A^3/atom
Size of the total moment   0.84 μB/cell
Formation energy   -0.419 eV/atom



Record 5
Entry from Alexandria: a relaxed structure of SmGa5Co (PBEsol).

The structure in CIF format:
```
data_SmGa5Co
_cell_length_a 4.1802
_cell_length_b 4.1802
_cell_length_c 6.7989
_cell_angle_alpha 90.00
_cell_angle_beta 90.00
_cell_angle_gamma 90.00
_space_group_name_H-M_alt 'P 4/m m m'
_space_group_IT_number 123
_space_group_name_Hall '-P 4 2'
loop_
_atom_site_label
_atom_site_type_symbol
_atom_site_fract_x
_atom_site_fract_y
_atom_site_fract_z
_atom_site_occupancy
Sm1 Sm 0.0000 0.0000 0.0000 1
Ga1 Ga 0.0000 0.5000 0.3132 1
Ga2 Ga 0.5000 0.5000 0.0000 1
Co1 Co 0.0000 0.0000 0.5000 1
```

V   17.0 A^3/atom
Size of the total moment   0.00 μB/cell
Formation energy   -0.513 eV/atom



Record 6
Entry from Alexandria: a relaxed structure of SmGa2Co (PBEsol).

The structure in CIF format:
```
data_SmGa2Co
_cell_length_a 4.0708
_cell_length_b 17.5241
_cell_length_c 4.0018
_cell_angle_alpha 90.00
_cell_angle_beta 90.00
_cell_angle_gamma 90.00
_space_group_name_H-M_alt 'C m m m'
_space_group_IT_number 65
_space_group_name_Hall '-C 2 2'
loop_
_atom_site_label
_atom_site_type_symbol
_atom_site_fract_x
_atom_site_fract_y
_atom_site_fract_z
_atom_site_occupancy
Sm1 Sm 0.0000 0.1422 0.0000 1
Ga1 Ga 0.0000 0.0000 0.5000 1
Ga2 Ga 0.0000 0.2920 0.5000 1
Ga3 Ga 0.0000 0.5000 0.0000 1
Co1 Co 0.0000 0.4266 0.5000 1
```

V   17.8 A^3/atom
Size of the total moment   0.01 μB/cell
Formation energy   -0.568 eV/atom